Compound: Na2PaSb3Pt4
Source: Alexandria via LeMat-Bulk
Functional: PBE-GGA
Structure: relaxed

## Properties
- total DFT energy (no corrections) (eV per atom) = -5.34
- V (Å³/cell) = 237.2
- N(E_F) (states/eV per atom) = 0.8839
- theoretical density (g cm⁻³) = 10.0

Cell and atoms, written as CIF:
```
data_Na2PaSb3Pt4
_symmetry_space_group_name_H-M 'P -4 m 2'
_symmetry_Int_Tables_number 115
_cell_length_a 4.601
_cell_length_b 4.601
_cell_length_c 11.203
_cell_angle_alpha 90.00
_cell_angle_beta 90.00
_cell_angle_gamma 90.00
loop_
_symmetry_equiv_pos_as_xyz
'x,y,z'
'y,-x,-z'
'-x,-y,z'
'-y,x,-z'
'-x,y,z'
'-y,-x,-z'
'x,-y,z'
'y,x,-z'
loop_
_atom_site_label
_atom_site_fract_x
_atom_site_fract_y
_atom_site_fract_z
Na1 0.000 0.500 0.216
Pa1 0.000 0.000 0.500
Sb1 0.000 0.500 0.875
Sb2 0.500 0.500 0.500
Pt1 0.000 0.000 0.000
Pt2 0.000 0.500 0.641
Pt3 0.500 0.500 0.000
```